(1)
{
  "formula": "Ba3SmV2O9",
  "functional": "PBE with a Hubbard U",
  "state": "optimized geometry",
  "cell": [[5.8583, 0.0000, 0.0000], [-2.9292, 5.0734, 0.0000], [0.0000, 0.0000, 7.2560]],
  "species": ["O", "O", "O", "O", "O", "O", "O", "Ba", "O", "O", "Ba", "V", "V", "Ba", "Sm"],
  "frac_coords": [[0.5000, 0.5000, 0.0000], [0.8201, 0.6403, 0.6915], [0.8201, 0.1799, 0.6915], [0.3597, 0.1799, 0.6915], [0.5000, 0.0000, 0.0000], [0.0000, 0.5000, 0.0000], [0.6403, 0.8201, 0.3085], [0.3333, 0.6667, 0.6892], [0.1799, 0.8201, 0.3085], [0.1799, 0.3597, 0.3085], [0.0000, 0.0000, 0.0000], [0.6667, 0.3333, 0.8375], [0.3333, 0.6667, 0.1625], [0.6667, 0.3333, 0.3108], [0.0000, 0.0000, 0.5000]],
  "sg": "P-3m1",
  "dos_ef_per_ev_atom": 0.1487,
  "total_energy_ev_per_atom": -7.247
}

***

(2)
{
  "formula": "BaSmV2O8",
  "functional": "PBE with a Hubbard U",
  "state": "optimized geometry",
  "cell": [[5.8234, 0.0000, 0.0000], [-2.9117, 5.0432, 0.0000], [0.0000, 0.0000, 7.7747]],
  "species": ["O", "O", "V", "Sm", "O", "O", "Ba", "O", "O", "O", "V", "O"],
  "frac_coords": [[0.1687, 0.8315, 0.7027], [0.6667, 0.3333, 0.0075], [0.3333, 0.6667, 0.7740], [0.0000, 0.0000, 0.5000], [0.8313, 0.1685, 0.2973], [0.3333, 0.6667, 0.9925], [0.0000, 0.0000, 0.0000], [0.6629, 0.8313, 0.7027], [0.3371, 0.1687, 0.2973], [0.8315, 0.6629, 0.2973], [0.6667, 0.3333, 0.2260], [0.1685, 0.3371, 0.7027]],
  "sg": "P-3m1",
  "dos_ef_per_ev_atom": 0.8763,
  "total_energy_ev_per_atom": -7.438
}